# Li2VP2O7

A geometry-optimized Li2VP2O7 structure (GGA+U, Alexandria).

Values from the calculation:
- Density of states at the Fermi level: 0.0 states/eV/cell
- Magnetic moment: 0.25 μB/atom
- DFT total energy: -167.4 eV per cell
- Offset from the most stable computed form: 13 meV per atom

a b c (Å): 5.0681 7.0185 8.4268
angles (deg): 67.44 87.29 87.64
Element x y z (fractional)
Li: 0.2249 0.7921 0.5602
Li: 0.2910 0.8318 0.9977
Li: 0.7090 0.1682 0.0023
Li: 0.7751 0.2079 0.4398
V: 0.2452 0.2258 0.7229
V: 0.7548 0.7742 0.2771
P: 0.2181 0.1101 0.1818
P: 0.2806 0.4480 0.3032
P: 0.7194 0.5520 0.6968
P: 0.7819 0.8899 0.8182
O: 0.0819 0.9150 0.7781
O: 0.1354 0.2977 0.4629
O: 0.1305 0.6520 0.2131
O: 0.2915 0.3399 0.1624
O: 0.2978 0.1170 0.0019
O: 0.3854 0.9518 0.3220
O: 0.4296 0.5236 0.6690
O: 0.5704 0.4764 0.3310
O: 0.6146 0.0482 0.6780
O: 0.7022 0.8830 0.9981
O: 0.7085 0.6601 0.8376
O: 0.8695 0.3480 0.7869
O: 0.8646 0.7023 0.5371
O: 0.9181 0.0850 0.2219